A plane-wave DFT calculation with PBE with a Hubbard U was carried out for an optimized crystal structure of SrWO2.

Uncorrected energy   -6.4721 eV/atom
N(E_F)   1.187 states/eV/cell
Total moment   0.00 Bohr magnetons per cell
Energy above the most stable polymorph in this dataset   61 meV/atom
Mass density   7.1 g/cm³

abc: 14.147 3.353 6.714
angles: 90.00 117.46 90.00
Sites, in units of the cell vectors:
1 Sr 0.112 0.000 0.462
2 Sr 0.388 0.500 0.538
3 Sr 0.612 0.500 0.462
4 Sr 0.888 0.000 0.538
5 W 0.179 0.500 0.001
6 W 0.321 0.000 0.999
7 W 0.679 0.000 0.001
8 W 0.821 0.500 0.999
9 O 0.050 0.500 0.726
10 O 0.176 0.500 0.283
11 O 0.324 0.000 0.717
12 O 0.450 0.000 0.274
13 O 0.550 0.000 0.726
14 O 0.676 0.000 0.283
15 O 0.824 0.500 0.717
16 O 0.950 0.500 0.274